[1]
VASP calculation (PBE) on a relaxed Pm2HSe crystal.

Unit cell a=4.0604 b=4.0604 c=5.6118 alpha=90.00 beta=90.00 gamma=90.00
Fractional positions:
H 0.5000 0.5000 0.5000
Pm 0.5000 0.5000 0.0000
Pm 0.0000 0.0000 0.5000
Se 0.0000 0.0000 0.0000

Calculated values
- uncorrected energy (eV per cell) = -20.07
- M_tot (μB per atom) = 0.00
- space group = P4/mmm, No. 123
- crystal system = tetragonal

---

[2]
VASP calculation (PBE) on a relaxed PmHSe crystal.

Unit cell a=3.9530 b=3.9530 c=4.0008 alpha=90.00 beta=90.00 gamma=120.00
Fractional positions:
H 0.0000 0.0000 0.8331
Pm 0.6667 0.3333 0.8335
Se 0.3333 0.6667 0.3335

Calculated values
- uncorrected energy (eV per cell) = -15.98
- M_tot (μB per atom) = 0.00
- space group = P-6m2, No. 187
- crystal system = hexagonal

---

[3]
VASP calculation (PBE) on a relaxed Pm2SiH crystal.

Unit cell a=4.0659 b=4.0659 c=5.6840 alpha=90.00 beta=90.00 gamma=90.00
Last column: magnetic moment on the atom in μB.
Fractional positions:
H 0.0000 0.0000 0.0000  -0.01
Pm 0.5000 0.5000 0.0000  0.31
Pm 0.0000 0.0000 0.5000  0.05
Si 0.5000 0.5000 0.5000  -0.01

Calculated values
- uncorrected energy (eV per cell) = -19.78
- M_tot (μB per atom) = 0.20
- space group = P4/mmm, No. 123
- crystal system = tetragonal

---

[4]
VASP calculation (PBE) on a relaxed Pm5Sn3H crystal.

Unit cell a=9.2413 b=9.2413 c=6.6277 alpha=90.00 beta=90.00 gamma=120.00
Fractional positions:
H 0.0000 0.0000 0.0000
H 0.0000 0.0000 0.5000
Pm 0.6667 0.3333 0.0000
Pm 0.3333 0.6667 0.0000
Pm 0.2454 0.0000 0.2500
Pm 0.0000 0.2454 0.2500
Pm 0.7546 0.7546 0.2500
Pm 0.6667 0.3333 0.5000
Pm 0.3333 0.6667 0.5000
Pm 0.7546 0.0000 0.7500
Pm 0.2454 0.2454 0.7500
Pm 0.0000 0.7546 0.7500
Sn 0.6094 0.0000 0.2500
Sn 0.3906 0.3906 0.2500
Sn 0.0000 0.6094 0.2500
Sn 0.3906 0.0000 0.7500
Sn 0.0000 0.3906 0.7500
Sn 0.6094 0.6094 0.7500

Calculated values
- uncorrected energy (eV per cell) = -91.17
- M_tot (μB per atom) = 0.00
- space group = P6_3/mcm, No. 193
- crystal system = hexagonal

---

[5]
VASP calculation (PBE) on a relaxed Pm2SnH2 crystal.

Unit cell a=6.2256 b=6.2256 c=8.2039 alpha=109.20 beta=109.20 gamma=38.51
Fractional positions:
H 0.2501 0.2497 0.1248
H 0.7503 0.7499 0.3752
H 0.2497 0.2501 0.6248
H 0.7499 0.7503 0.8752
Pm 0.6526 0.6523 0.0765
Pm 0.3477 0.3474 0.4235
Pm 0.6523 0.6526 0.5765
Pm 0.3474 0.3477 0.9235
Sn 0.0000 0.0000 0.2500
Sn 0.0000 0.0000 0.7500

Calculated values
- uncorrected energy (eV per cell) = -47.62
- M_tot (μB per atom) = 0.00
- space group = I4/mmm, No. 139
- crystal system = tetragonal

---

[6]
VASP calculation (PBE) on a relaxed Pm2TcH6 crystal.

Unit cell a=5.1414 b=5.1414 c=5.1414 alpha=60.00 beta=60.00 gamma=60.00
Fractional positions:
H 0.7536 0.2464 0.2464
H 0.2464 0.7536 0.2464
H 0.7536 0.7536 0.2464
H 0.2464 0.2464 0.7536
H 0.7536 0.2464 0.7536
H 0.2464 0.7536 0.7536
Pm 0.2500 0.2500 0.2500
Pm 0.7500 0.7500 0.7500
Tc 0.0000 0.0000 0.0000

Calculated values
- uncorrected energy (eV per cell) = -44.74
- M_tot (μB per atom) = 0.00
- space group = Fm-3m, No. 225
- crystal system = cubic

---

[7]
VASP calculation (PBE) on a relaxed PmTeH crystal.

Unit cell a=4.1004 b=4.1004 c=4.3041 alpha=90.00 beta=90.00 gamma=120.00
Fractional positions:
H 0.0000 0.0000 0.5000
Pm 0.6667 0.3333 0.5000
Te 0.3333 0.6667 0.0000

Calculated values
- uncorrected energy (eV per cell) = -14.87
- M_tot (μB per atom) = 0.00
- space group = P-6m2, No. 187
- crystal system = hexagonal

---

[8]
VASP calculation (PBE) on a relaxed Pr2H crystal.

Unit cell a=4.6276 b=4.6276 c=4.6276 alpha=60.00 beta=60.00 gamma=60.00
Fractional positions:
H 0.0000 0.0000 0.0000
Pr 0.2500 0.2500 0.2500
Pr 0.7500 0.7500 0.7500

Calculated values
- M_tot (μB per atom) = 0.00
- space group = Fm-3m, No. 225
- crystal system = cubic
- ΔE to the lowest computed polymorph (meV per atom) = 0.0

---

[9]
VASP calculation (PBE) on a relaxed Pr2H crystal.

Unit cell a=7.3167 b=7.3167 c=7.3167 alpha=60.00 beta=60.00 gamma=60.00
Fractional positions:
H 0.2500 0.2500 0.2500
H 0.5000 0.5000 0.5000
Pr 0.3750 0.3750 0.3750
Pr 0.8750 0.3750 0.3750
Pr 0.3750 0.8750 0.3750
Pr 0.3750 0.3750 0.8750

Calculated values
- M_tot (μB per atom) = 0.00
- space group = Fd-3m, No. 227
- crystal system = cubic
- ΔE to the lowest computed polymorph (meV per atom) = 372.7

---

[10]
VASP calculation (PBE) on a relaxed PrH2 crystal.

Unit cell a=6.9010 b=6.9010 c=6.9010 alpha=60.00 beta=60.00 gamma=60.00
Last column: magnetic moment on the atom in μB.
Fractional positions:
H 0.8750 0.3750 0.3750  -0.01
H 0.3750 0.8750 0.3750  0.00
H 0.3750 0.3750 0.3750  0.00
H 0.3750 0.3750 0.8750  0.00
Pr 0.2500 0.2500 0.2500  0.31
Pr 0.5000 0.5000 0.5000  0.31

Calculated values
- uncorrected energy (eV per cell) = -21.99
- M_tot (μB per atom) = 0.33
- space group = Fd-3m, No. 227
- crystal system = cubic

---

[11]
VASP calculation (PBE) on a relaxed PrH2 crystal.

Unit cell a=3.9028 b=3.9028 c=3.9028 alpha=120.00 beta=90.00 gamma=120.00
Fractional positions:
H 0.7500 0.5000 0.2500
H 0.2500 0.5000 0.7500
Pr 0.0000 0.0000 0.0000

Calculated values
- uncorrected energy (eV per cell) = -13.38
- M_tot (μB per atom) = 0.00
- space group = Fm-3m, No. 225
- crystal system = cubic

---

[12]
VASP calculation (PBE) on a relaxed Pr4H9 crystal.

Unit cell a=6.7426 b=6.7426 c=6.7426 alpha=132.04 beta=132.04 gamma=70.16
Fractional positions:
H 0.0000 0.0000 0.0000
H 0.6143 0.1322 0.0000
H 0.8678 0.3857 0.0000
H 0.1322 0.6143 0.0000
H 0.3857 0.8678 0.0000
H 0.6143 0.6143 0.4821
H 0.8678 0.8678 0.4821
H 0.1322 0.1322 0.5179
H 0.3857 0.3857 0.5179
Pr 0.2458 0.2458 0.0000
Pr 0.7542 0.7542 0.0000
Pr 0.5000 0.0000 0.5000
Pr 0.0000 0.5000 0.5000

Calculated values
- uncorrected energy (eV per cell) = -57.24
- M_tot (μB per atom) = 0.00
- space group = I4/mmm, No. 139
- crystal system = tetragonal